(1)
This record from Alexandria via LeMat-Bulk describes a relaxed La2MnTl crystal. The functional is PBE.

Values from the calculation:
Energy relative to the elements in meV per atom: -0.6
Crystal system: orthorhombic
Total moment in μB per atom: 0.82

```
La2MnTl
1.0
5.0598 0.0822 0.0000
-0.0755 5.0599 0.0000
0.0000 0.0000 4.4741
Tl Mn La
1 1 2
direct
0.0000 0.5000 0.5000 Tl
0.5000 0.0000 0.5000 Mn
0.0000 0.0000 0.0000 La
0.5000 0.5000 0.0000 La
```



(2)
This record from Alexandria via LeMat-Bulk describes a relaxed LaMn2Tl crystal. The functional is PBE.

Values from the calculation:
Relative energy among the computed polymorphs in meV/atom: 186.5
Energy relative to the elements in meV per atom: 359.5
Crystal system: tetragonal
Total moment in μB per atom: 1.71

```
LaMn2Tl
1.0
-3.5881 -1.9269 2.2966
1.6698 -4.2619 -0.9671
2.2236 0.0696 3.5325
Tl La Mn
1 1 2
direct
0.5000 0.0000 0.5000 Tl
0.0000 0.5000 0.5000 La
0.5000 0.5000 0.0000 Mn
0.0000 0.0000 0.0000 Mn
```



(3)
This record from Alexandria via LeMat-Bulk describes a relaxed La2MnTl crystal. The functional is PBE.

Values from the calculation:
Energy relative to the elements in meV per atom: 249.7
Crystal system: trigonal
Total moment in μB per atom: 0.90

```
La2MnTl
1.0
10.4274 0.1164 0.0688
9.7545 3.6870 0.0688
9.7545 1.8383 3.1968
Mn La Tl
1 2 1
direct
0.5051 0.5051 0.5051 Mn
0.7625 0.7625 0.7625 La
0.9945 0.9945 0.9945 La
0.2379 0.2379 0.2379 Tl
```



(4)
This record from Alexandria via LeMat-Bulk describes a relaxed LaMnTl2Zn crystal. The functional is PBE.

Values from the calculation:
Energy relative to the elements in meV per atom: 972.2
Crystal system: tetragonal
Total moment in μB per atom: 0.02

```
LaMnTl2Zn
1.0
-0.4456 -1.4714 4.8160
0.3169 -5.4552 -1.6374
5.0279 0.1396 0.5079
Mn La Tl Zn
1 1 2 1
direct
0.5000 0.5000 0.5000 Mn
0.0000 0.5000 0.0000 La
0.5000 0.0000 0.0000 Tl
0.0000 0.0000 0.5000 Tl
0.0000 0.0000 0.0000 Zn
```



(5)
This record from Alexandria via LeMat-Bulk describes a relaxed LaTm3Mn crystal. The functional is PBE.

Values from the calculation:
Energy relative to the elements in meV per atom: 176.1
Crystal system: cubic
Total moment in μB per atom: 0.17

```
LaTm3Mn
1.0
-4.4907 2.5180 -1.2005
-2.1687 -4.5823 -1.4988
-1.7544 -0.7807 4.9255
Tm Mn La
3 1 1
direct
0.0000 0.0000 0.5000 Tm
0.0000 0.5000 0.0000 Tm
0.5000 0.0000 0.0000 Tm
0.0000 0.0000 0.0000 Mn
0.5000 0.5000 0.5000 La
```



(6)
This record from Alexandria via LeMat-Bulk describes a relaxed LaUMn crystal. The functional is PBE.

Values from the calculation:
Energy relative to the elements in meV per atom: 189.0
Crystal system: orthorhombic
Total moment in μB per atom: 0.20

```
LaUMn
1.0
-4.0814 1.5438 -0.8818
-0.3237 -2.8127 -3.4258
-2.8454 -5.0163 4.3874
U Mn La
2 2 2
direct
0.0000 0.0000 0.4243 U
0.5000 0.5000 0.5757 U
0.0000 0.5000 0.3418 Mn
0.5000 0.0000 0.6582 Mn
0.5000 0.5000 0.0824 La
0.0000 0.0000 0.9176 La
```



(7)
This record from Alexandria via LeMat-Bulk describes a relaxed LaMn3V crystal. The functional is PBE.

Values from the calculation:
Relative energy among the computed polymorphs in meV/atom: 1274.1
Energy relative to the elements in meV per atom: 1767.6
Crystal system: cubic
Total moment in μB per atom: 0.67

```
LaMn3V
1.0
-0.8057 -1.6328 -4.1940
-0.4143 -4.2157 1.7208
-4.4815 0.6833 0.5949
Mn La V
3 1 1
direct
0.0000 0.0000 0.5000 Mn
0.0000 0.5000 0.0000 Mn
0.5000 0.0000 0.0000 Mn
0.0000 0.0000 0.0000 La
0.5000 0.5000 0.5000 V
```



(8)
This record from Alexandria via LeMat-Bulk describes a relaxed LaMn3V crystal. The functional is PBE.

Values from the calculation:
Relative energy among the computed polymorphs in meV/atom: 0.0
Energy relative to the elements in meV per atom: 493.5
Crystal system: cubic
Total moment in μB per atom: 1.46

```
LaMn3V
1.0
4.6055 0.0000 0.0000
0.0000 4.6055 0.0000
0.0000 0.0000 4.6055
Mn V La
3 1 1
direct
0.5000 0.0000 0.0000 Mn
0.0000 0.0000 0.5000 Mn
0.0000 0.5000 0.0000 Mn
0.0000 0.0000 0.0000 V
0.5000 0.5000 0.5000 La
```